[1]
Material: Co2ReAs
Method: DFT, GGA-PBE
State: optimized geometry

Output
- Formation energy: 0.263 eV/atom
- Space group: P4/mmm, No. 123

a = 3.6862 Å, b = 3.6862 Å, c = 3.6942 Å
α = 90.00°, β = 90.00°, γ = 90.00°
Fractional coordinates of all 4 atoms:
Co (0.0000, 0.5000, 0.0000)
Co (0.5000, 0.0000, 0.0000)
Re (0.0000, 0.0000, 0.5000)
As (0.5000, 0.5000, 0.5000)

[2]
Material: CoReAsRh2
Method: DFT, GGA-PBE
State: optimized geometry

Output
- Formation energy: 1.201 eV/atom
- Space group: P4/mmm, No. 123

a = 4.4757 Å, b = 4.4757 Å, c = 4.5936 Å
α = 90.00°, β = 90.00°, γ = 90.00°
Fractional coordinates of all 5 atoms:
Co (0.0000, 0.0000, 0.0000)
Re (0.5000, 0.5000, 0.0000)
As (0.5000, 0.5000, 0.5000)
Rh (0.0000, 0.5000, 0.5000)
Rh (0.5000, 0.0000, 0.5000)

[3]
Material: CoRe2AsS
Method: DFT, GGA-PBE
State: optimized geometry

Output
- Space group: P4/mmm, No. 123

a = 4.5958 Å, b = 4.5958 Å, c = 4.6514 Å
α = 90.00°, β = 90.00°, γ = 90.00°
Fractional coordinates of all 5 atoms:
Co (0.0000, 0.0000, 0.0000)
Re (0.0000, 0.5000, 0.5000)
Re (0.5000, 0.0000, 0.5000)
As (0.5000, 0.5000, 0.5000)
S (0.5000, 0.5000, 0.0000)

[4]
Material: ScCoReAs2
Method: DFT, GGA-PBE
State: optimized geometry

Output
- Formation energy: 0.772 eV/atom
- Space group: P4/mmm, No. 123

a = 4.7304 Å, b = 4.7304 Å, c = 5.1479 Å
α = 90.00°, β = 90.00°, γ = 90.00°
Fractional coordinates of all 5 atoms:
Sc (0.0000, 0.0000, 0.0000)
Co (0.5000, 0.5000, 0.0000)
Re (0.0000, 0.0000, 0.5000)
As (0.0000, 0.5000, 0.5000)
As (0.5000, 0.0000, 0.5000)

[5]
Material: CoReAsSe2
Method: DFT, GGA-PBE
State: optimized geometry

Output
- Space group: P4/mmm, No. 123

a = 4.5918 Å, b = 4.5918 Å, c = 4.4103 Å
α = 90.00°, β = 90.00°, γ = 90.00°
Fractional coordinates of all 5 atoms:
Co (0.0000, 0.0000, 0.0000)
Re (0.5000, 0.5000, 0.5000)
As (0.0000, 0.0000, 0.5000)
Se (0.0000, 0.5000, 0.0000)
Se (0.5000, 0.0000, 0.0000)

[6]
Material: TiCoReAs2
Method: DFT, GGA-PBE
State: optimized geometry

Output
- Formation energy: 0.851 eV/atom
- Space group: P4/mmm, No. 123

a = 4.4327 Å, b = 4.4327 Å, c = 4.5347 Å
α = 90.00°, β = 90.00°, γ = 90.00°
Fractional coordinates of all 5 atoms:
Ti (0.0000, 0.0000, 0.0000)
Co (0.5000, 0.5000, 0.5000)
Re (0.5000, 0.5000, 0.0000)
As (0.0000, 0.5000, 0.5000)
As (0.5000, 0.0000, 0.5000)

[7]
Material: VCo2ReAs
Method: DFT, GGA-PBE
State: optimized geometry

Output
- Formation energy: 1.073 eV/atom
- Space group: P4/mmm, No. 123

a = 4.1739 Å, b = 4.1739 Å, c = 4.4629 Å
α = 90.00°, β = 90.00°, γ = 90.00°
Fractional coordinates of all 5 atoms:
V (0.0000, 0.0000, 0.0000)
Co (0.0000, 0.5000, 0.5000)
Co (0.5000, 0.0000, 0.5000)
Re (0.5000, 0.5000, 0.0000)
As (0.0000, 0.0000, 0.5000)

[8]
Material: ZnCo2ReAs
Method: DFT, GGA-PBE
State: optimized geometry

Output
- Formation energy: 1.514 eV/atom
- Space group: P4/mmm, No. 123

a = 4.2861 Å, b = 4.2861 Å, c = 4.6817 Å
α = 90.00°, β = 90.00°, γ = 90.00°
Fractional coordinates of all 5 atoms:
Zn (0.0000, 0.0000, 0.0000)
Co (0.0000, 0.5000, 0.0000)
Co (0.5000, 0.0000, 0.0000)
Re (0.0000, 0.0000, 0.5000)
As (0.5000, 0.5000, 0.5000)

[9]
Material: CoAsRh2
Method: DFT, GGA-PBE
State: optimized geometry

Output
- Formation energy: 0.467 eV/atom
- Space group: I-42d, No. 122

a = 6.6928 Å, b = 6.6928 Å, c = 6.6928 Å
α = 133.04°, β = 133.04°, γ = 68.60°
Fractional coordinates of all 8 atoms:
Co (0.0000, 0.0000, 0.0000)
Co (0.7500, 0.2500, 0.5000)
As (0.2500, 0.7500, 0.5000)
As (0.5000, 0.5000, 0.0000)
Rh (0.1193, 0.6250, 0.9943)
Rh (0.3750, 0.3693, 0.4943)
Rh (0.6307, 0.1250, 0.0057)
Rh (0.8750, 0.8807, 0.5057)

[10]
Material: CoAs6Rh
Method: DFT, GGA-PBE
State: optimized geometry

Output
- Formation energy: -0.366 eV/atom
- Space group: C2/m, No. 12

a = 7.2725 Å, b = 7.2725 Å, c = 8.4279 Å
α = 124.95°, β = 124.95°, γ = 70.81°
Fractional coordinates of all 16 atoms:
Co (0.0000, 0.5000, 0.0000)
Co (0.5000, 0.0000, 0.0000)
As (0.0056, 0.3042, 0.1482)
As (0.1472, 0.8372, 0.3430)
As (0.1628, 0.8528, 0.6570)
As (0.3042, 0.0056, 0.1482)
As (0.3479, 0.3479, 0.0080)
As (0.3543, 0.3543, 0.7054)
As (0.6457, 0.6457, 0.2946)
As (0.6521, 0.6521, 0.9920)
As (0.6958, 0.9944, 0.8518)
As (0.8372, 0.1472, 0.3430)
As (0.8528, 0.1628, 0.6570)
As (0.9944, 0.6958, 0.8518)
Rh (0.0000, 0.5000, 0.5000)
Rh (0.5000, 0.0000, 0.5000)

[11]
Material: CoAsRh2
Method: DFT, GGA-PBE
State: optimized geometry

Output
- Formation energy: -0.002 eV/atom
- Space group: P2/m, No. 10

a = 4.4300 Å, b = 2.8550 Å, c = 4.5919 Å
α = 90.00°, β = 109.45°, γ = 90.00°
Fractional coordinates of all 4 atoms:
Co (0.0000, 0.0000, 0.0000)
As (0.0000, 0.5000, 0.5000)
Rh (0.5000, 0.0000, 0.5000)
Rh (0.5000, 0.5000, 0.0000)

[12]
Material: CoAsRh2
Method: DFT, GGA-PBE
State: optimized geometry

Output
- Formation energy: 0.270 eV/atom
- Space group: Cmm2, No. 35

a = 2.7674 Å, b = 2.7674 Å, c = 8.5042 Å
α = 90.00°, β = 90.00°, γ = 118.70°
Fractional coordinates of all 4 atoms:
Co (0.0000, 0.0000, 0.0000)
As (0.5000, 0.5000, 0.2325)
Rh (0.0000, 0.0000, 0.4790)
Rh (0.5000, 0.5000, 0.7539)

[13]
Material: CoAsRh2
Method: DFT, GGA-PBE
State: optimized geometry

Output
- Formation energy: -0.033 eV/atom
- Space group: C2/m, No. 12

a = 4.4447 Å, b = 4.4447 Å, c = 4.6617 Å
α = 100.08°, β = 100.08°, γ = 37.66°
Fractional coordinates of all 4 atoms:
Co (0.0000, 0.0000, 0.0000)
As (0.5000, 0.5000, 0.5000)
Rh (0.2512, 0.2512, 0.7553)
Rh (0.7488, 0.7488, 0.2447)

[14]
Material: CoAsRh2
Method: DFT, GGA-PBE
State: optimized geometry

Output
- Formation energy: -0.075 eV/atom
- Space group: Cm, No. 8

a = 4.7781 Å, b = 4.7781 Å, c = 4.4751 Å
α = 109.24°, β = 109.24°, γ = 34.68°
Fractional coordinates of all 4 atoms:
Co (0.0000, 0.0000, 0.0000)
As (0.7119, 0.7119, 0.3243)
Rh (0.2421, 0.2421, 0.8256)
Rh (0.4532, 0.4532, 0.4744)

[15]
Material: CoAsRh
Method: DFT, GGA-PBE
State: optimized geometry

Output
- Formation energy: -0.315 eV/atom
- Space group: Pnma, No. 62

a = 5.9598 Å, b = 3.7899 Å, c = 7.0127 Å
α = 90.00°, β = 90.00°, γ = 90.00°
Fractional coordinates of all 12 atoms:
Co (0.1427, 0.2500, 0.0618)
Co (0.3573, 0.7500, 0.5618)
Co (0.6427, 0.2500, 0.4382)
Co (0.8573, 0.7500, 0.9382)
As (0.2370, 0.7500, 0.8743)
As (0.2630, 0.2500, 0.3743)
As (0.7370, 0.7500, 0.6257)
As (0.7630, 0.2500, 0.1257)
Rh (0.0346, 0.2500, 0.6697)
Rh (0.4654, 0.7500, 0.1697)
Rh (0.5346, 0.2500, 0.8303)
Rh (0.9654, 0.7500, 0.3303)

[16]
Material: CoAsRh
Method: DFT, GGA-PBE
State: optimized geometry

Output
- Formation energy: -0.261 eV/atom
- Space group: F-43m, No. 216

a = 3.9515 Å, b = 3.9515 Å, c = 3.9515 Å
α = 60.00°, β = 60.00°, γ = 60.00°
Fractional coordinates of all 3 atoms:
Co (0.0000, 0.0000, 0.0000)
As (0.7500, 0.7500, 0.7500)
Rh (0.5000, 0.5000, 0.5000)

[17]
Material: CoAsRh
Method: DFT, GGA-PBE
State: optimized geometry

Output
- Formation energy: -0.011 eV/atom
- Space group: I4mm, No. 107

a = 5.0247 Å, b = 5.0247 Å, c = 5.0247 Å
α = 145.46°, β = 145.46°, γ = 49.65°
Fractional coordinates of all 3 atoms:
Co (0.0000, 0.0000, 0.0000)
As (0.3613, 0.3613, 0.0000)
Rh (0.6941, 0.6941, 0.0000)

[18]
Material: CoAsRh2
Method: DFT, GGA-PBE
State: optimized geometry

Output
- Formation energy: -0.007 eV/atom
- Space group: Pmm2, No. 25

a = 2.8554 Å, b = 3.7561 Å, c = 5.2494 Å
α = 90.00°, β = 90.00°, γ = 90.00°
Fractional coordinates of all 4 atoms:
Co (0.0000, 0.0000, 0.0000)
As (0.5000, 0.5000, 0.6988)
Rh (0.0000, 0.0000, 0.4979)
Rh (0.5000, 0.5000, 0.1789)

[19]
Material: CoAsRh2
Method: DFT, GGA-PBE
State: optimized geometry

Output
- Formation energy: 0.065 eV/atom
- Space group: R3m, No. 160

a = 8.2023 Å, b = 8.2023 Å, c = 8.2023 Å
α = 19.83°, β = 19.83°, γ = 19.83°
Fractional coordinates of all 4 atoms:
Co (0.0000, 0.0000, 0.0000)
As (0.2582, 0.2582, 0.2582)
Rh (0.5113, 0.5113, 0.5113)
Rh (0.7503, 0.7503, 0.7503)

[20]
Material: CoAsRh2
Method: DFT, GGA-PBE
State: optimized geometry

Output
- Formation energy: -0.068 eV/atom
- Space group: Imm2, No. 44

a = 5.1016 Å, b = 5.1016 Å, c = 5.1016 Å
α = 146.97°, β = 130.14°, γ = 61.12°
Fractional coordinates of all 4 atoms:
Co (0.0000, 0.0000, 0.0000)
As (0.7887, 0.2887, 0.5000)
Rh (0.2785, 0.7785, 0.5000)
Rh (0.5627, 0.5627, 0.0000)

[21]
Material: CoAsRh
Method: DFT, GGA-PBE
State: optimized geometry

Output
- Formation energy: -0.300 eV/atom
- Space group: P2_1/m, No. 11

a = 6.0679 Å, b = 3.7453 Å, c = 10.5149 Å
α = 90.00°, β = 91.05°, γ = 90.00°
Fractional coordinates of all 18 atoms:
Co (0.0092, 0.2500, 0.0883)
Co (0.1400, 0.2500, 0.4611)
Co (0.3601, 0.7500, 0.7918)
Co (0.6399, 0.2500, 0.2082)
Co (0.8600, 0.7500, 0.5389)
Co (0.9908, 0.7500, 0.9117)
As (0.2392, 0.7500, 0.5846)
As (0.2396, 0.2500, 0.9152)
As (0.2686, 0.2500, 0.2515)
As (0.7314, 0.7500, 0.7485)
As (0.7604, 0.7500, 0.0848)
As (0.7608, 0.2500, 0.4154)
Rh (0.0218, 0.2500, 0.7155)
Rh (0.3582, 0.7500, 0.0829)
Rh (0.4509, 0.7500, 0.3855)
Rh (0.5491, 0.2500, 0.6145)
Rh (0.6418, 0.2500, 0.9171)
Rh (0.9782, 0.7500, 0.2845)

[22]
Material: Co4AsRh
Method: DFT, GGA-PBE
State: optimized geometry

Output
- Formation energy: 0.251 eV/atom
- Space group: F-43m, No. 216

a = 4.7557 Å, b = 4.7557 Å, c = 4.7557 Å
α = 60.00°, β = 60.00°, γ = 60.00°
Fractional coordinates of all 6 atoms:
Co (0.1247, 0.1247, 0.1247)
Co (0.1247, 0.1247, 0.6260)
Co (0.1247, 0.6260, 0.1247)
Co (0.6260, 0.1247, 0.1247)
As (0.5000, 0.5000, 0.5000)
Rh (0.7500, 0.7500, 0.7500)

[23]
Material: CoAsRh2
Method: DFT, GGA-PBE
State: optimized geometry

Output
- Formation energy: -0.081 eV/atom
- Space group: Amm2, No. 38

a = 3.8930 Å, b = 5.1508 Å, c = 5.1508 Å
α = 32.11°, β = 90.00°, γ = 90.00°
Fractional coordinates of all 4 atoms:
Co (0.0000, 0.0000, 0.0000)
As (0.5000, 0.8605, 0.8605)
Rh (0.0000, 0.2642, 0.2642)
Rh (0.5000, 0.6055, 0.6055)

[24]
Material: CoAs4Rh
Method: DFT, GGA-PBE
State: optimized geometry

Output
- Formation energy: 0.796 eV/atom
- Space group: F-43m, No. 216

a = 5.3412 Å, b = 5.3412 Å, c = 5.3412 Å
α = 60.00°, β = 60.00°, γ = 60.00°
Fractional coordinates of all 6 atoms:
Co (0.0000, 0.0000, 0.0000)
As (0.1224, 0.6259, 0.6259)
As (0.6259, 0.1224, 0.6259)
As (0.6259, 0.6259, 0.1224)
As (0.6259, 0.6259, 0.6259)
Rh (0.2500, 0.2500, 0.2500)

[25]
Material: CoAsRh4
Method: DFT, GGA-PBE
State: optimized geometry

Output
- Formation energy: 0.502 eV/atom
- Space group: F-43m, No. 216

a = 5.1122 Å, b = 5.1122 Å, c = 5.1122 Å
α = 60.00°, β = 60.00°, γ = 60.00°
Fractional coordinates of all 6 atoms:
Co (0.0000, 0.0000, 0.0000)
As (0.2500, 0.2500, 0.2500)
Rh (0.1246, 0.6251, 0.6251)
Rh (0.6251, 0.1246, 0.6251)
Rh (0.6251, 0.6251, 0.1246)
Rh (0.6251, 0.6251, 0.6251)

[26]
Material: CoAsRh2
Method: DFT, GGA-PBE
State: optimized geometry

Output
- Formation energy: 0.038 eV/atom
- Space group: R-3m, No. 166

a = 8.2295 Å, b = 8.2295 Å, c = 8.2295 Å
α = 19.90°, β = 19.90°, γ = 19.90°
Fractional coordinates of all 4 atoms:
Co (0.0000, 0.0000, 0.0000)
As (0.5000, 0.5000, 0.5000)
Rh (0.2486, 0.2486, 0.2486)
Rh (0.7514, 0.7514, 0.7514)

[27]
Material: CoAsRh2
Method: DFT, GGA-PBE
State: optimized geometry

Output
- Formation energy: -0.091 eV/atom
- Space group: P4/mmm, No. 123

a = 3.8258 Å, b = 3.8258 Å, c = 3.6617 Å
α = 90.00°, β = 90.00°, γ = 90.00°
Fractional coordinates of all 4 atoms:
Co (0.0000, 0.0000, 0.0000)
As (0.5000, 0.5000, 0.0000)
Rh (0.0000, 0.5000, 0.5000)
Rh (0.5000, 0.0000, 0.5000)

[28]
Material: Co3AsRh
Method: DFT, GGA-PBE
State: optimized geometry

Output
- Formation energy: 1.326 eV/atom
- Space group: Pm-3m, No. 221

a = 4.5239 Å, b = 4.5239 Å, c = 4.5239 Å
α = 90.00°, β = 90.00°, γ = 90.00°
Fractional coordinates of all 5 atoms:
Co (0.0000, 0.0000, 0.5000)
Co (0.0000, 0.5000, 0.0000)
Co (0.5000, 0.0000, 0.0000)
As (0.5000, 0.5000, 0.5000)
Rh (0.0000, 0.0000, 0.0000)

| no. | raw total energy (eV/atom) |
| --- | --- |
| 1 | -7.565 |
| 2 | -6.580 |
| 3 | -6.044 |
| 4 | -6.265 |
| 5 | -5.154 |
| 6 | -6.499 |
| 7 | -7.013 |
| 8 | -5.003 |
| 9 | -6.148 |
| 10 | -5.660 |
| 11 | -6.617 |
| 12 | -6.345 |
| 13 | -6.647 |
| 14 | -6.690 |
| 15 | -6.684 |
| 16 | -6.630 |
| 17 | -6.380 |
| 18 | -6.621 |
| 19 | -6.549 |
| 20 | -6.682 |
| 21 | -6.669 |
| 22 | -6.486 |
| 23 | -6.695 |
| 24 | -4.714 |
| 25 | -6.358 |
| 26 | -6.577 |
| 27 | -6.706 |
| 28 | -5.338 |